w.
VASP calculation (PBE-GGA) on a geometry-optimized KSbIr structure.

It has space group F-43m (No. 216), with a = 6.899 Å, b = 6.899 Å, c = 6.899 Å, α = 90.00°, β = 90.00° and γ = 90.00°. Symmetry generates all atoms from K at (0.000, 0.000, 0.000), Sb at (0.250, 0.250, 0.750) and Ir at (0.250, 0.250, 0.250).

Its density of states at the Fermi level is 1.81 states/eV/f.u. As for the total magnetization: 0.00 μB per formula unit.

x.
VASP calculation (PBE-GGA) on a geometry-optimized KSbIr structure.

It has space group F-43m (No. 216), with a = 6.727 Å, b = 6.727 Å, c = 6.727 Å, α = 90.00°, β = 90.00° and γ = 90.00°. Symmetry generates all atoms from K at (0.000, 0.000, 0.000), Sb at (0.000, 0.000, 0.500) and Ir at (0.250, 0.250, 0.750).

Its density of states at the Fermi level is 1.96 states/eV/f.u. As for the total magnetization: 0.00 μB per formula unit.

y.
VASP calculation (PBE-GGA) on a geometry-optimized KSbIr structure.

It has space group I4mm (No. 107), with a = 3.496 Å, b = 3.496 Å, c = 12.697 Å, α = 90.00°, β = 90.00° and γ = 90.00°. Symmetry generates all atoms from K at (0.000, 0.000, 0.000), Sb at (0.000, 0.000, 0.283) and Ir at (0.000, 0.000, 0.700).

Its density of states at the Fermi level is 2.42 states/eV/f.u. As for the total magnetization: 0.00 μB per formula unit.

Energy relative to the most stable one, in kJ/mol of atoms: w 147.5; x 45.5; y 0.0